The following is a PBE calculation of an optimized crystal structure of MgZn2GaAg, from Alexandria.

Cell lengths 5.5703, 4.3004, 7.9430 Å; angles 90.00, 100.39, 90.00 degrees
Element x y z (fractional)
1 Mg 0.2142 0.2500 0.4205
2 Mg 0.7858 0.7500 0.5795
3 Zn 0.1159 0.7500 0.9512
4 Zn 0.3980 0.2500 0.0677
5 Zn 0.6020 0.7500 0.9323
6 Zn 0.8841 0.2500 0.0488
7 Ga 0.4447 0.7500 0.2643
8 Ga 0.5553 0.2500 0.7357
9 Ag 0.0704 0.2500 0.7404
10 Ag 0.9296 0.7500 0.2596

Properties
DFT total energy = -2.009 eV per atom
Total magnetization = 0.0 μB/cell
Density of states at the Fermi level = 2.3 states/eV per cell
E_form = -4 meV/atom